La2AgIr2 | PBE | optimized geometry

Lattice parameters (Å, degrees): 8.456 8.456 3.342 90.00 90.00 90.00
Element x y z (fractional)
La  0.848  0.652  0.000
La  0.652  0.152  0.000
La  0.348  0.848  0.000
La  0.152  0.348  0.000
Ir  0.357  0.143  0.500
Ir  0.643  0.857  0.500
Ir  0.143  0.643  0.500
Ir  0.857  0.357  0.500
Ag  0.000  0.000  0.000
Ag  0.500  0.500  0.000

The total magnetization is 0.000 μB per atom. The space group is P4/mbm, No. 127. Its formation energy is -0.192 eV/atom. As for the energy above the most stable polymorph in this dataset: 1.83 eV per formula unit.